FeAgAsPb2, optimized geometry, DFT PBE-GGA; symmetry = P4/mmm
1.0
5.0170 0.0000 0.0000
0.0000 4.8991 0.0000
0.0000 0.0000 5.0170
Ag As Pb Fe
1 1 2 1
Cartesian
0.0000 2.4495 0.0000 Ag
2.5085 2.4495 2.5085 As
0.0000 0.0000 2.5085 Pb
2.5085 0.0000 0.0000 Pb
0.0000 0.0000 0.0000 Fe

***

FeReAgAs2, optimized geometry, DFT PBE-GGA; symmetry = P4/mmm
1.0
-2.0570 4.2254 0.0040
-4.0023 -1.9511 2.8560
2.2828 1.1076 3.9557
Fe Ag As Re
1 1 2 1
Cartesian
-1.8883 1.6910 3.4079 Fe
-2.0012 -0.9756 1.4280 Ag
1.1414 0.5538 1.9778 As
-1.0285 2.1127 0.0020 As
0.0000 0.0000 0.0000 Re

***

TaFe2AgAs, optimized geometry, DFT PBE-GGA; symmetry = P4/mmm
1.0
4.3679 0.0000 0.0000
0.0000 4.6803 0.0000
0.0000 0.0000 4.3679
As Fe Ta Ag
1 2 1 1
Cartesian
0.0000 0.0000 0.0000 As
2.1840 0.0000 0.0000 Fe
0.0000 0.0000 2.1840 Fe
2.1840 2.3401 2.1840 Ta
0.0000 2.3401 0.0000 Ag

***

ZrFeAg2As, optimized geometry, DFT PBE-GGA; symmetry = P4/mmm
1.0
4.8245 0.0000 0.0000
0.0000 4.4487 0.0000
0.0000 0.0000 4.8245
As Ag Zr Fe
1 2 1 1
Cartesian
0.0000 0.0000 0.0000 As
2.4123 0.0000 0.0000 Ag
0.0000 0.0000 2.4123 Ag
2.4123 2.2244 2.4123 Zr
0.0000 2.2244 0.0000 Fe

***

| no. | formation enthalpy at 0 K (meV/atom) |
| --- | --- |
| 1 | 651 |
| 2 | 1067 |
| 3 | 1030 |
| 4 | 609 |